Entry 1:
PrFe2Si2 | PBEsol | relaxed

a b c (Å): 3.9841 3.9841 9.6836
angles (deg): 90.00 90.00 90.00
With the nearest neighbours (Å) after each atom.
Space group I4/mmm (No. 139)
One atom of each set of equivalent atoms:
1 Pr 0.0000 0.0000 0.0000 [2 per cell]  10 Si 3.13-3.48, 8 Fe 3.14
2 Fe 0.0000 0.5000 0.2500 [4 per cell]  4 Si 2.26
3 Si 0.0000 0.0000 0.3592 [4 per cell]  4 Fe 2.26

Properties
Volume ... 15.37 Å³ per atom
Energy relative to the elements, uncorrected ... -0.672 eV/atom
Uncorrected energy ... -7.593 eV/atom
Magnetic moment ... 0.000 μB per atom


Entry 2:
Sr2CoSe2Cl2O6 | PBEsol | relaxed

a b c (Å): 5.3252 6.3836 13.0400
angles (deg): 90.00 111.04 90.00
With the nearest neighbours (Å) after each atom.
Space group P2_1/c (No. 14)
One atom of each set of equivalent atoms:
1 Sr 0.2219 0.1971 0.2342 [4 per cell]  5 O 2.49-2.78
2 Co 0.5000 0.0000 0.0000 [2 per cell]  4 O 2.04-2.06
3 Se 0.0790 0.7358 0.0717 [4 per cell]  3 O 1.69-1.75
4 Cl 0.4457 0.6725 0.8964 [4 per cell]  1 Co 2.45
5 O 0.1152 0.5695 0.1773 [4 per cell]  1 Se 1.69
6 O 0.1201 0.0746 0.8968 [4 per cell]  1 Se 1.75
7 O 0.3781 0.6221 0.6208 [4 per cell]  1 Se 1.74

Properties
Volume ... 15.91 Å³ per atom
Energy relative to the elements, uncorrected ... -1.606 eV/atom
Uncorrected energy ... -5.808 eV/atom
Magnetic moment ... 0.231 μB per atom


Entry 3:
CoReAs2 | PBEsol | relaxed

a b c (Å): 3.0510 3.8895 4.8252
angles (deg): 90.00 90.00 90.00
With the nearest neighbours (Å) after each atom.
Space group Pmmm (No. 47)
One atom of each set of equivalent atoms:
1 Co 0.0000 0.0000 0.0000 [1 per cell]  4 As 2.47
2 Re 0.5000 0.0000 0.5000 [1 per cell]  4 As 2.47
3 As 0.0000 0.5000 0.5000 [1 per cell]  4 Re 2.47
4 As 0.5000 0.5000 0.0000 [1 per cell]  4 Co 2.47

Properties
Volume ... 14.31 Å³ per atom
Uncorrected energy ... -7.316 eV/atom
Magnetic moment ... 0.021 μB per atom
Energy above the most stable polymorph in this dataset ... 0.411 eV/atom
Formation enthalpy at 0 K ... 504 meV per atom


Entry 4:
LiCaBr4 | PBEsol | relaxed

a b c (Å): 9.0024 9.0024 9.0024
angles (deg): 90.00 90.00 90.00
With the nearest neighbours (Å) after each atom.
Space group F-43m (No. 216)
One atom of each set of equivalent atoms:
1 Li 0.0000 0.0000 0.0000 [4 per cell]  12 Br 3.73, 4 Ca 3.90
2 Ca 0.2500 0.2500 0.2500 [4 per cell]  12 Br 3.73, 4 Li 3.90
3 Br 0.1250 0.1250 0.6250 [16 per cell]  6 Br 3.18

Properties
Volume ... 30.40 Å³ per atom
Energy relative to the elements, uncorrected ... -0.415 eV/atom
Uncorrected energy ... -2.345 eV/atom
Magnetic moment ... 0.171 μB per atom


Entry 5:
Mn2AlRe | PBEsol | relaxed

a b c (Å): 2.6162 3.7377 5.2186
angles (deg): 90.00 90.00 90.00
With the nearest neighbours (Å) after each atom.
Space group Pmm2 (No. 25)
One atom of each set of equivalent atoms:
1 Mn 0.0000 0.0000 0.0000 [1 per cell]  2 Re 2.58-2.64, 4 Al 2.59, 6 Mn 2.62-2.63
2 Mn 0.5000 0.5000 0.2500 [1 per cell]  2 Al 2.54-2.68, 4 Re 2.61, 6 Mn 2.62-2.63
3 Al 0.5000 0.5000 0.7631 [1 per cell]  6 Mn 2.54-2.68, 2 Al 2.62, 4 Re 2.68
4 Re 0.0000 0.0000 0.4935 [1 per cell]  6 Mn 2.58-2.64, 2 Re 2.62, 4 Al 2.68

Properties
Volume ... 12.76 Å³ per atom
Uncorrected energy ... -9.227 eV/atom
Magnetic moment ... 0.185 μB per atom
Formation enthalpy at 0 K ... 9 meV per atom


Entry 6:
RbAsWBr2 | PBEsol | relaxed

a b c (Å): 6.1947 6.1947 6.1361
angles (deg): 90.00 90.00 90.00
With the nearest neighbours (Å) after each atom.
Space group P4/mmm (No. 123)
One atom of each set of equivalent atoms:
1 Rb 0.0000 0.0000 0.0000 [1 per cell]  2 As 3.07, 4 Br 3.10
2 As 0.0000 0.0000 0.5000 [1 per cell]  2 Rb 3.07
3 W 0.5000 0.5000 0.5000 [1 per cell]  8 Br 4.36, 4 As 4.38
4 Br 0.0000 0.5000 0.0000 [2 per cell]  2 Rb 3.10

Properties
Volume ... 47.09 Å³ per atom
Energy relative to the elements, uncorrected ... 1.885 eV/atom
Uncorrected energy ... -2.851 eV/atom
Magnetic moment ... 1.598 μB per atom


Entry 7:
SmBr2 | PBEsol | relaxed

a b c (Å): 13.7482 3.8566 6.8189
angles (deg): 90.00 90.00 90.00
With the nearest neighbours (Å) after each atom.
Space group Pnma (No. 62)
One atom of each set of equivalent atoms:
1 Sm 0.1123 0.2500 0.0025 [4 per cell]  6 Br 2.88-2.97
2 Br 0.0447 0.7500 0.7174 [4 per cell]  3 Sm 2.88-2.89
3 Br 0.2098 0.7500 0.2551 [4 per cell]  3 Sm 2.91-2.97

Properties
Volume ... 30.13 Å³ per atom
Energy relative to the elements, uncorrected ... -1.623 eV/atom
Uncorrected energy ... -4.568 eV/atom
Magnetic moment ... 0.164 μB per atom


Entry 8:
SbMoP | PBEsol | relaxed

a b c (Å): 4.2285 4.2285 3.3870
angles (deg): 90.00 90.00 120.00
With the nearest neighbours (Å) after each atom.
Space group P-6m2 (No. 187)
One atom of each set of equivalent atoms:
1 Sb 0.0000 0.0000 0.0000 [1 per cell]  6 Mo 2.97, 6 P 2.97
2 Mo 0.3333 0.6667 0.5000 [1 per cell]  3 P 2.44
3 P 0.6667 0.3333 0.5000 [1 per cell]  3 Mo 2.44

Properties
Volume ... 17.48 Å³ per atom
Energy relative to the elements, uncorrected ... 0.119 eV/atom
Uncorrected energy ... -7.253 eV/atom
Magnetic moment ... 0.000 μB per atom
Energy above the most stable polymorph in this dataset ... 0.000 eV/atom